No. 1
Computed, not measured: crystalline Nd2Y2S7 at its relaxed geometry at the PBE-GGA level of DFT.

* magnetization: 0.0 μB/f.u.
* energy relative to the elements, uncorrected: -1657 kJ/mol of formula units
* crystal system: orthorhombic

Lattice parameters (Å, degrees): 7.0110 7.0110 6.1255 90.00 90.00 91.26
Closest atoms and distances in Å follow each position.
Positions (direct):
Nd1 0.2350 0.7650 0.0000  7 S 2.66-2.97
Nd2 0.7650 0.2350 0.0000  7 S 2.66-2.97
Y1 0.2167 0.2167 0.5000  6 S 2.62-2.89
Y2 0.7833 0.7833 0.5000  6 S 2.62-2.89
S1 0.0000 0.0000 0.2490  2 Y 2.62, 2 Nd 2.81
S2 0.0000 0.0000 0.7510  2 Y 2.62, 2 Nd 2.81
S3 0.0000 0.5000 0.2719  1 S 2.79, 2 Y 2.89, 2 Nd 2.97
S4 0.0000 0.5000 0.7281  1 S 2.79, 2 Y 2.89, 2 Nd 2.97
S5 0.5000 0.0000 0.2719  1 S 2.79, 2 Y 2.89, 2 Nd 2.97
S6 0.5000 0.0000 0.7281  1 S 2.79, 2 Y 2.89, 2 Nd 2.97
S7 0.5000 0.5000 0.0000  2 Nd 2.66



No. 2
Computed, not measured: crystalline SrCd2Os at its relaxed geometry at the PBE-GGA level of DFT.

* ΔH_f (0 K): 477 meV/atom
* magnetization: 0.6 μB/f.u.
* crystal system: monoclinic

Lattice parameters (Å, degrees): 5.6756 5.6756 6.8615 124.88 124.88 32.72
Closest atoms and distances in Å follow each position.
Positions (direct):
Sr1 0.0000 0.0000 0.0000  3 Os 3.05-3.07, 2 Sr 3.20, 4 Cd 3.32-3.38
Cd1 0.6147 0.6147 0.6699  2 Os 2.83, 2 Cd 3.02
Cd2 0.8386 0.8386 0.2849  2 Os 2.78, 2 Cd 3.02
Os1 0.2711 0.2711 0.5415  4 Cd 2.78-2.83, 3 Sr 3.05-3.07



No. 3
Computed, not measured: crystalline La7Ho2Er2 at its relaxed geometry at the PBE-GGA level of DFT.

* ΔH_f (0 K): 122 meV/atom
* magnetization: 0.0 μB/f.u.
* polymorph energy (0 for the lowest one): 0 meV/atom
* crystal system: monoclinic

Lattice parameters (Å, degrees): 8.1762 8.1762 6.1986 104.97 104.97 90.66
Closest atoms and distances in Å follow each position.
Positions (direct):
La1 0.0000 0.0000 0.0000  4 La 3.36, 2 Er 3.62
La2 0.0464 0.5829 0.8155  2 La 3.18-3.36, 2 Ho 3.39-3.49, 1 Er 3.42
La3 0.4171 0.9536 0.1845  2 La 3.18-3.36, 2 Ho 3.39-3.49, 1 Er 3.42
La4 0.4262 0.4262 0.1985  6 La 3.46-3.84, 2 Er 3.63-3.71, 2 Ho 3.79
La5 0.5738 0.5738 0.8015  6 La 3.46-3.84, 2 Er 3.63-3.71, 2 Ho 3.79
La6 0.5829 0.0464 0.8155  2 La 3.18-3.36, 2 Ho 3.39-3.49, 1 Er 3.42
La7 0.9536 0.4171 0.1845  2 La 3.18-3.36, 2 Ho 3.39-3.49, 1 Er 3.42
Ho1 0.2109 0.7891 0.5000  6 La 3.39-3.79, 2 Er 3.47
Ho2 0.7891 0.2109 0.5000  6 La 3.39-3.79, 2 Er 3.47
Er1 0.2266 0.2266 0.5892  7 La 3.42-3.71, 2 Ho 3.47
Er2 0.7734 0.7734 0.4108  7 La 3.42-3.71, 2 Ho 3.47



No. 4
Computed, not measured: crystalline Sr2Sn3Hg4 at its relaxed geometry at the PBE-GGA level of DFT.

* ΔH_f (0 K): -339 meV/atom
* magnetization: 0.0 μB/f.u.
* crystal system: orthorhombic

Lattice parameters (Å, degrees): 9.2094 9.2094 9.0276 90.00 90.00 137.51
Closest atoms and distances in Å follow each position.
Positions (direct):
Sr1 0.1171 0.8829 0.9191  8 Hg 3.51-3.69, 4 Sn 3.64-3.83
Sr2 0.3829 0.6171 0.4191  8 Hg 3.51-3.69, 4 Sn 3.64-3.83
Sr3 0.6171 0.3829 0.5809  8 Hg 3.51-3.69, 4 Sn 3.64-3.83
Sr4 0.8829 0.1171 0.0809  8 Hg 3.51-3.69, 4 Sn 3.64-3.83
Sn1 0.0000 0.0000 0.5000  6 Hg 2.91-3.08
Sn2 0.0332 0.4668 0.7500  5 Hg 2.96-3.19
Sn3 0.4668 0.0332 0.2500  5 Hg 2.96-3.19
Sn4 0.5000 0.5000 0.0000  6 Hg 2.91-3.08
Sn5 0.5332 0.9668 0.7500  5 Hg 2.96-3.19
Sn6 0.9668 0.5332 0.2500  5 Hg 2.96-3.19
Hg1 0.1778 0.8222 0.5416  5 Sn 3.08-3.19
Hg2 0.2056 0.2944 0.7500  3 Sn 2.91-2.96
Hg3 0.2944 0.2056 0.2500  3 Sn 2.91-2.96
Hg4 0.3222 0.6778 0.0416  5 Sn 3.08-3.19
Hg5 0.6778 0.3222 0.9584  5 Sn 3.08-3.19
Hg6 0.7056 0.7944 0.7500  3 Sn 2.91-2.96
Hg7 0.7944 0.7056 0.2500  3 Sn 2.91-2.96
Hg8 0.8222 0.1778 0.4584  5 Sn 3.08-3.19